Entry from the Alexandria database: a relaxed structure of FeNi3Pt6 (PBE).

final energy	-6.294	eV per atom
total magnetic moment	0.7367	μB per atom
D(E_F)	15.22	states/eV/f.u.
energy relative to the lowest polymorph listed for this composition	0.0	meV per atom

extended XYZ file:
```
20
Lattice="-2.931 -0.450 -3.302 5.387 -0.410 -4.725 -2.767 -8.581 3.626" Properties=species:S:1:pos:R:3 pbc="T T T"
Ni -1.023 -0.724 -3.467
Pt 3.116 -2.845 -3.869
Ni -1.599 -5.933 -2.245
Pt -3.428 -6.595 -0.532
Pt 1.598 -0.916 -2.784
Ni 0.557 -2.571 -4.617
Pt 0.001 -7.818 -3.409
Ni -0.869 -6.870 0.216
Pt -0.313 -1.623 -0.992
Ni 1.287 -3.508 -2.156
Pt 0.978 -6.090 -1.528
Pt 0.339 -5.108 -4.078
Fe -3.190 -4.045 -1.090
Pt -1.289 -3.350 -2.873
Ni 0.711 -8.716 -0.934
Pt 2.428 -1.872 -6.373
Pt -1.909 -8.525 -1.617
Pt -0.650 -4.333 -0.323
Pt -2.739 -7.569 1.972
Fe 2.879 -5.396 -3.311
```

Entry from the Alexandria database: a relaxed structure of Tb2YTmSe4 (PBE).

final energy	-6.007	eV per atom
total magnetic moment	0.0000	μB per atom
D(E_F)	4.64	states/eV/f.u.

extended XYZ file:
```
8
Lattice="-3.185 -2.403 -0.509 4.138 -5.679 0.911 0.140 -1.646 6.891" Properties=species:S:1:pos:R:3 pbc="T T T"
Se 1.523 -5.849 2.182
Se -2.102 -4.256 1.459
Tm 2.139 -3.662 3.901
Y 0.476 -4.041 0.201
Se -0.430 -3.879 5.112
Tb 0.140 -1.646 6.891
Se 3.195 -5.472 5.834
Tb -1.523 -2.024 3.191
```

Entry from the Alexandria database: a relaxed structure of Sr3Al6Pt5 (PBE).

final energy	-5.027	eV per atom
total magnetic moment	0.0000	μB per atom
D(E_F)	7.34	states/eV/f.u.

extended XYZ file:
```
28
Lattice="4.212 0.000 0.000 0.000 10.606 0.000 0.000 0.000 13.066" Properties=species:S:1:pos:R:3 pbc="T T T"
Pt 2.106 5.079 5.055
Al 2.106 4.421 10.487
Sr 0.000 2.632 4.493
Al 2.106 4.421 2.579
Al 2.106 0.251 0.000
Pt 0.000 5.527 1.478
Al 2.106 10.525 8.783
Pt 0.000 5.527 11.588
Pt 2.106 5.079 8.011
Al 0.000 0.081 10.816
Al 2.106 10.525 4.283
Sr 2.106 7.838 6.533
Sr 2.106 7.974 11.026
Al 0.000 5.178 6.533
Al 0.000 6.185 9.113
Pt 2.106 1.549 10.803
Pt 2.106 1.073 6.533
Al 0.000 0.081 2.250
Pt 0.000 9.533 0.000
Sr 0.000 2.632 8.573
Sr 2.106 7.974 2.040
Al 0.000 10.355 6.533
Al 0.000 6.185 3.954
Sr 0.000 2.768 0.000
Pt 0.000 9.056 8.796
Pt 2.106 1.549 2.263
Al 2.106 5.428 0.000
Pt 0.000 9.056 4.270
```

Entry from the Alexandria database: a relaxed structure of KGeI2Br (PBE).

final energy	-2.956	eV per atom
total magnetic moment	0.0000	μB per atom
D(E_F)	0.00	states/eV/f.u.
energy relative to the lowest polymorph listed for this composition	0.0	meV per atom

extended XYZ file:
```
10
Lattice="4.518 0.000 0.000 0.000 9.317 1.011 0.000 -2.834 8.852" Properties=species:S:1:pos:R:3 pbc="T T T"
Br 3.388 3.212 3.141
Ge 3.388 1.074 1.687
K 1.129 5.518 3.728
K 3.388 0.965 6.136
I 1.129 -0.838 8.640
Ge 1.129 5.410 8.177
I 3.388 7.321 1.224
I 3.388 6.577 6.494
Br 1.129 3.271 6.723
I 1.129 -0.094 3.370
```